A relaxed structure of Pr2CoAu. Source: Alexandria via LeMat-Bulk, functional PBE-GGA.

Results
Calculated formation energy, kJ/mol of atoms: -31.1
Volume, Å³ per atom: 23.98
M_tot, μB per cell: 0.9

Unit cell a=3.5871 b=3.5871 c=7.4559 alpha=90.00 beta=90.00 gamma=90.00
Closest atoms and distances in Å follow each position.
Space group P4/mmm (No. 123)
Asymmetric unit:
Pr: 0.0000 0.0000 0.2318 (multiplicity 2)  4 Co 3.07, 4 Au 3.23
Co: 0.5000 0.5000 0.0000 (multiplicity 1)  8 Pr 3.07
Au: 0.5000 0.5000 0.5000 (multiplicity 1)  8 Pr 3.23, 4 Au 3.59